Entry 1:
# BeCo2Ni | Alexandria | GGA-PBE | relaxed
# energy of formation = -0.036 eV/atom
# total moment = 3.19 μB per formula unit
data_BeCo2Ni
_chemical_formula_sum 'Be1 Co2 Ni1'
_cell_length_a 7.890
_cell_length_b 7.890
_cell_length_c 7.890
_cell_angle_alpha 17.90
_cell_angle_beta 17.90
_cell_angle_gamma 17.90
_space_group_name_H-M_alt 'P 1'
_space_group_IT_number 1
loop_
_space_group_symop_operation_xyz
'x,y,z'
loop_
_atom_site_label
_atom_site_fract_x
_atom_site_fract_y
_atom_site_fract_z
Be1 0.000 0.000 0.000
Co1 0.412 0.412 0.412
Co2 0.587 0.587 0.587
Ni1 0.167 0.167 0.167


Entry 2:
# Be2CoNi | Alexandria | GGA-PBE | relaxed
# energy of formation = -0.419 eV/atom
# total moment = 0.00 μB per formula unit
data_Be2CoNi
_chemical_formula_sum 'Be2 Co1 Ni1'
_cell_length_a 3.674
_cell_length_b 3.674
_cell_length_c 3.674
_cell_angle_alpha 60.00
_cell_angle_beta 60.00
_cell_angle_gamma 60.00
_space_group_name_H-M_alt 'P 1'
_space_group_IT_number 1
loop_
_space_group_symop_operation_xyz
'x,y,z'
loop_
_atom_site_label
_atom_site_fract_x
_atom_site_fract_y
_atom_site_fract_z
Be1 0.250 0.250 0.250
Be2 0.750 0.750 0.750
Co1 0.000 0.000 0.000
Ni1 0.500 0.500 0.500


Entry 3:
# BeCo2Ni | Alexandria | GGA-PBE | relaxed
# energy of formation = -0.051 eV/atom
# total moment = 3.45 μB per formula unit
data_BeCo2Ni
_chemical_formula_sum 'Be1 Co2 Ni1'
_cell_length_a 2.449
_cell_length_b 3.497
_cell_length_c 4.764
_cell_angle_alpha 90.00
_cell_angle_beta 93.97
_cell_angle_gamma 90.00
_space_group_name_H-M_alt 'P 1'
_space_group_IT_number 1
loop_
_space_group_symop_operation_xyz
'x,y,z'
loop_
_atom_site_label
_atom_site_fract_x
_atom_site_fract_y
_atom_site_fract_z
Be1 0.000 0.000 0.000
Co1 0.469 0.500 0.237
Co2 0.531 0.500 0.763
Ni1 0.000 0.000 0.500


Entry 4:
# Be2CoNi | Alexandria | GGA-PBE | relaxed
# energy of formation = -0.281 eV/atom
# total moment = 0.00 μB per formula unit
data_Be2CoNi
_chemical_formula_sum 'Be2 Co1 Ni1'
_cell_length_a 2.533
_cell_length_b 3.508
_cell_length_c 4.209
_cell_angle_alpha 90.00
_cell_angle_beta 106.81
_cell_angle_gamma 90.00
_space_group_name_H-M_alt 'P 1'
_space_group_IT_number 1
loop_
_space_group_symop_operation_xyz
'x,y,z'
loop_
_atom_site_label
_atom_site_fract_x
_atom_site_fract_y
_atom_site_fract_z
Be1 0.000 0.000 0.000
Be2 0.151 0.500 0.319
Co1 0.718 0.000 0.455
Ni1 0.429 0.500 0.856


Entry 5:
# Be2CoNi | Alexandria | GGA-PBE | relaxed
# energy of formation = -0.130 eV/atom
# total moment = 0.08 μB per formula unit
data_Be2CoNi
_chemical_formula_sum 'Be2 Co1 Ni1'
_cell_length_a 3.748
_cell_length_b 3.748
_cell_length_c 3.748
_cell_angle_alpha 60.00
_cell_angle_beta 60.00
_cell_angle_gamma 60.00
_space_group_name_H-M_alt 'P 1'
_space_group_IT_number 1
loop_
_space_group_symop_operation_xyz
'x,y,z'
loop_
_atom_site_label
_atom_site_fract_x
_atom_site_fract_y
_atom_site_fract_z
Be1 0.000 0.000 0.000
Be2 0.250 0.250 0.250
Co1 0.750 0.750 0.750
Ni1 0.500 0.500 0.500


Entry 6:
# Be3CoNi2 | Alexandria | GGA-PBE | relaxed
# energy of formation = -0.443 eV/atom
# total moment = 0.00 μB per formula unit
data_Be3CoNi2
_chemical_formula_sum 'Be3 Co1 Ni2'
_cell_length_a 2.605
_cell_length_b 2.605
_cell_length_c 7.791
_cell_angle_alpha 90.00
_cell_angle_beta 90.00
_cell_angle_gamma 90.00
_space_group_name_H-M_alt 'P 1'
_space_group_IT_number 1
loop_
_space_group_symop_operation_xyz
'x,y,z'
loop_
_atom_site_label
_atom_site_fract_x
_atom_site_fract_y
_atom_site_fract_z
Be1 0.000 0.000 0.000
Be2 0.000 0.000 0.342
Be3 0.000 0.000 0.658
Co1 0.500 0.500 0.500
Ni1 0.500 0.500 0.167
Ni2 0.500 0.500 0.833


Entry 7:
# Be2CoNi | Alexandria | GGA-PBE | relaxed
# energy of formation = -0.156 eV/atom
# total moment = 1.05 μB per formula unit
data_Be2CoNi
_chemical_formula_sum 'Be2 Co1 Ni1'
_cell_length_a 3.844
_cell_length_b 3.844
_cell_length_c 4.300
_cell_angle_alpha 99.52
_cell_angle_beta 99.52
_cell_angle_gamma 36.71
_space_group_name_H-M_alt 'P 1'
_space_group_IT_number 1
loop_
_space_group_symop_operation_xyz
'x,y,z'
loop_
_atom_site_label
_atom_site_fract_x
_atom_site_fract_y
_atom_site_fract_z
Be1 0.250 0.250 0.247
Be2 0.750 0.750 0.753
Co1 0.500 0.500 0.000
Ni1 0.000 0.000 0.500


Entry 8:
# BeCoNi | Alexandria | GGA-PBE | relaxed
# energy of formation = -0.197 eV/atom
# total moment = 1.56 μB per formula unit
data_BeCoNi
_chemical_formula_sum 'Be1 Co1 Ni1'
_cell_length_a 4.781
_cell_length_b 4.781
_cell_length_c 4.781
_cell_angle_alpha 149.13
_cell_angle_beta 149.13
_cell_angle_gamma 44.23
_space_group_name_H-M_alt 'P 1'
_space_group_IT_number 1
loop_
_space_group_symop_operation_xyz
'x,y,z'
loop_
_atom_site_label
_atom_site_fract_x
_atom_site_fract_y
_atom_site_fract_z
Be1 0.000 0.000 0.000
Co1 0.655 0.655 0.000
Ni1 0.348 0.348 0.000


Entry 9:
# Be6CoNi | Alexandria | GGA-PBE | relaxed
# energy of formation = -0.282 eV/atom
# total moment = 0.00 μB per formula unit
data_Be6CoNi
_chemical_formula_sum 'Be6 Co1 Ni1'
_cell_length_a 3.653
_cell_length_b 4.538
_cell_length_c 4.538
_cell_angle_alpha 62.89
_cell_angle_beta 90.00
_cell_angle_gamma 90.00
_space_group_name_H-M_alt 'P 1'
_space_group_IT_number 1
loop_
_space_group_symop_operation_xyz
'x,y,z'
loop_
_atom_site_label
_atom_site_fract_x
_atom_site_fract_y
_atom_site_fract_z
Be1 0.000 0.000 0.000
Be2 0.000 0.508 0.980
Be3 0.000 0.980 0.508
Be4 0.500 0.164 0.683
Be5 0.500 0.662 0.662
Be6 0.500 0.683 0.164
Co1 0.000 0.484 0.484
Ni1 0.500 0.181 0.181


Entry 10:
# Be2CoNi | Alexandria | GGA-PBE | relaxed
# energy of formation = -0.261 eV/atom
# total moment = 1.03 μB per formula unit
data_Be2CoNi
_chemical_formula_sum 'Be2 Co1 Ni1'
_cell_length_a 4.277
_cell_length_b 4.277
_cell_length_c 3.863
_cell_angle_alpha 108.73
_cell_angle_beta 108.73
_cell_angle_gamma 33.13
_space_group_name_H-M_alt 'P 1'
_space_group_IT_number 1
loop_
_space_group_symop_operation_xyz
'x,y,z'
loop_
_atom_site_label
_atom_site_fract_x
_atom_site_fract_y
_atom_site_fract_z
Be1 0.000 0.000 0.000
Be2 0.738 0.738 0.366
Co1 0.487 0.487 0.491
Ni1 0.253 0.253 0.876


Entry 11:
# BeCoNi14 | Alexandria | GGA-PBE | relaxed
# energy of formation = -0.029 eV/atom
# total moment = 9.93 μB per formula unit
data_BeCoNi14
_chemical_formula_sum 'Be1 Co1 Ni14'
_cell_length_a 8.075
_cell_length_b 4.948
_cell_length_c 4.948
_cell_angle_alpha 60.02
_cell_angle_beta 90.00
_cell_angle_gamma 90.00
_space_group_name_H-M_alt 'P 1'
_space_group_IT_number 1
loop_
_space_group_symop_operation_xyz
'x,y,z'
loop_
_atom_site_label
_atom_site_fract_x
_atom_site_fract_y
_atom_site_fract_z
Be1 0.000 0.000 0.000
Co1 0.000 0.499 0.499
Ni1 0.000 0.003 0.500
Ni2 0.000 0.500 0.003
Ni3 0.244 0.330 0.834
Ni4 0.244 0.834 0.330
Ni5 0.246 0.835 0.835
Ni6 0.249 0.334 0.334
Ni7 0.500 0.166 0.166
Ni8 0.500 0.166 0.667
Ni9 0.500 0.666 0.666
Ni10 0.500 0.667 0.166
Ni11 0.751 0.334 0.334
Ni12 0.754 0.835 0.835
Ni13 0.756 0.330 0.834
Ni14 0.756 0.834 0.330


Entry 12:
# Be5CoNi2 | Alexandria | GGA-PBE | relaxed
# energy of formation = -0.337 eV/atom
# total moment = 0.00 μB per formula unit
data_Be5CoNi2
_chemical_formula_sum 'Be5 Co1 Ni2'
_cell_length_a 5.807
_cell_length_b 5.807
_cell_length_c 5.807
_cell_angle_alpha 143.45
_cell_angle_beta 143.45
_cell_angle_gamma 52.64
_space_group_name_H-M_alt 'P 1'
_space_group_IT_number 1
loop_
_space_group_symop_operation_xyz
'x,y,z'
loop_
_atom_site_label
_atom_site_fract_x
_atom_site_fract_y
_atom_site_fract_z
Be1 0.000 0.000 0.000
Be2 0.123 0.623 0.500
Be3 0.377 0.877 0.500
Be4 0.623 0.123 0.500
Be5 0.877 0.377 0.500
Co1 0.500 0.500 0.000
Ni1 0.250 0.250 0.000
Ni2 0.750 0.750 0.000


Entry 13:
# Be5Co2Ni | Alexandria | GGA-PBE | relaxed
# energy of formation = -0.323 eV/atom
# total moment = 0.00 μB per formula unit
data_Be5Co2Ni
_chemical_formula_sum 'Be5 Co2 Ni1'
_cell_length_a 5.670
_cell_length_b 5.670
_cell_length_c 5.670
_cell_angle_alpha 141.89
_cell_angle_beta 141.89
_cell_angle_gamma 54.99
_space_group_name_H-M_alt 'P 1'
_space_group_IT_number 1
loop_
_space_group_symop_operation_xyz
'x,y,z'
loop_
_atom_site_label
_atom_site_fract_x
_atom_site_fract_y
_atom_site_fract_z
Be1 0.000 0.000 0.000
Be2 0.131 0.631 0.500
Be3 0.369 0.869 0.500
Be4 0.631 0.131 0.500
Be5 0.869 0.369 0.500
Co1 0.246 0.246 0.000
Co2 0.754 0.754 0.000
Ni1 0.500 0.500 0.000